An optimized crystal structure of BaMg5Ag2. Source: the Alexandria database, functional GGA-PBE.

Unit cell a=7.2261 b=7.2261 c=7.2261 alpha=143.12 beta=109.08 gamma=82.72
Sites, in units of the cell vectors:
1 Ba 0.0000 0.0000 0.0000
2 Mg 0.1588 0.3425 0.8162
3 Mg 0.4737 0.6575 0.8162
4 Mg 0.5000 0.0000 0.5000
5 Mg 0.5263 0.3425 0.1838
6 Mg 0.8412 0.6575 0.1838
7 Ag 0.2500 0.7500 0.5000
8 Ag 0.7500 0.2500 0.5000

**Formation enthalpy at 0 K**: -0.173 eV/atom
**SG**: Immm, No. 71

An optimized crystal structure of ThSi2Mo. Source: the Alexandria database, functional GGA-PBE.

Unit cell a=5.5303 b=5.5303 c=5.5303 alpha=45.61 beta=45.61 gamma=45.61
Sites, in units of the cell vectors:
1 Th 0.0000 0.0000 0.0000
2 Si 0.2124 0.2124 0.2124
3 Si 0.7876 0.7876 0.7876
4 Mo 0.5000 0.5000 0.5000

**Formation energy (no corrections)**: -0.4230 eV/atom
**Relative energy among the computed polymorphs**: 178 meV per atom
**SG**: R-3m, No. 166

Copy entry 2 word for word.
An optimized crystal structure of ThSi2Mo. Source: the Alexandria database, functional GGA-PBE.

Unit cell a=5.5303 b=5.5303 c=5.5303 alpha=45.61 beta=45.61 gamma=45.61
Sites, in units of the cell vectors:
1 Th 0.0000 0.0000 0.0000
2 Si 0.2124 0.2124 0.2124
3 Si 0.7876 0.7876 0.7876
4 Mo 0.5000 0.5000 0.5000

**Formation energy (no corrections)**: -0.4230 eV/atom
**Relative energy among the computed polymorphs**: 178 meV per atom
**SG**: R-3m, No. 166